OsPtAu2: relaxed, PBE.

The structure in POSCAR format:
```
OsPtAu2
1.0
4.556 0.000 0.000
2.278 3.945 0.000
2.278 1.315 3.720
Au Os Pt
2 1 1
Direct
0.000 0.000 0.000 Au
0.250 0.250 0.250 Au
0.500 0.500 0.500 Os
0.750 0.750 0.750 Pt
```

Calculated values
VASP energy (eV for the cell shown): -21.43
Mass density (g/cm3): 19.355
Energy above the most stable polymorph in this dataset (meV/atom): 359.2

***

OsPtAu2: relaxed, PBE.

The structure in POSCAR format:
```
OsPtAu2
1.0
-4.389 -0.296 -8.536
-5.654 -2.525 -7.339
-6.671 0.079 -6.906
Au Os Pt
2 1 1
Direct
0.002 0.002 0.002 Au
0.247 0.247 0.247 Au
0.497 0.497 0.497 Os
0.754 0.754 0.754 Pt
```

Calculated values
VASP energy (eV for the cell shown): -22.87
Mass density (g/cm3): 19.734
Energy above the most stable polymorph in this dataset (meV/atom): 0.0

***

OsPt2Au: relaxed, PBE.

The structure in POSCAR format:
```
OsPt2Au
1.0
-4.457 -2.325 -2.494
-1.243 -5.401 0.881
0.652 5.280 1.784
Au Os Pt
1 1 2
Direct
0.250 0.750 0.500 Au
0.750 0.250 0.500 Os
0.987 0.987 0.000 Pt
0.513 0.513 0.000 Pt
```

Calculated values
VASP energy (eV for the cell shown): -25.12
Mass density (g/cm3): 19.934
Energy above the most stable polymorph in this dataset (meV/atom): 276.8

***

Os2PtAu: relaxed, PBE.

The structure in POSCAR format:
```
Os2PtAu
1.0
2.750 0.000 0.000
0.000 4.725 0.000
0.000 0.000 4.858
Au Os Pt
1 2 1
Direct
0.000 0.500 0.500 Au
0.000 0.000 0.000 Os
0.500 0.500 0.000 Os
0.500 0.000 0.500 Pt
```

Calculated values
VASP energy (eV for the cell shown): -29.20
Mass density (g/cm3): 20.322
Energy above the most stable polymorph in this dataset (meV/atom): 472.7

***

Os2PtAu: relaxed, PBE.

The structure in POSCAR format:
```
Os2PtAu
1.0
4.827 -0.001 -0.001
4.029 2.659 -0.001
0.794 0.238 4.814
Au Os Pt
1 2 1
Direct
0.250 0.250 0.250 Au
0.005 0.005 0.984 Os
0.495 0.495 0.516 Os
0.750 0.750 0.750 Pt
```

Calculated values
VASP energy (eV for the cell shown): -29.97
Mass density (g/cm3): 20.756
Energy above the most stable polymorph in this dataset (meV/atom): 279.8

***

OsPt2Au: relaxed, PBE.

The structure in POSCAR format:
```
OsPt2Au
1.0
-1.473 4.594 0.115
-2.278 3.541 -2.358
-4.582 -0.669 1.776
Au Os Pt
1 1 2
Direct
0.750 0.750 0.750 Au
0.250 0.250 0.250 Os
0.992 0.992 0.014 Pt
0.508 0.508 0.486 Pt
```

Calculated values
VASP energy (eV for the cell shown): -25.48
Mass density (g/cm3): 20.385
Energy above the most stable polymorph in this dataset (meV/atom): 186.8

***

OsPt2Au: relaxed, PBE.

The structure in POSCAR format:
```
OsPt2Au
1.0
-4.258 2.796 -2.495
-4.699 1.430 2.837
5.590 0.304 -0.909
Au Os Pt
1 1 2
Direct
0.509 0.509 0.000 Au
0.766 0.266 0.500 Os
0.990 0.990 0.000 Pt
0.236 0.736 0.500 Pt
```

Calculated values
VASP energy (eV for the cell shown): -25.22
Mass density (g/cm3): 19.827
Energy above the most stable polymorph in this dataset (meV/atom): 251.6

***

OsPtAu2: relaxed, PBE.

The structure in POSCAR format:
```
OsPtAu2
1.0
-5.475 0.689 1.508
-3.744 -4.306 -0.402
4.698 2.420 2.189
Au Os Pt
2 1 1
Direct
0.009 0.009 0.000 Au
0.737 0.237 0.500 Au
0.488 0.488 0.000 Os
0.265 0.765 0.500 Pt
```

Calculated values
VASP energy (eV for the cell shown): -21.96
Mass density (g/cm3): 19.178
Energy above the most stable polymorph in this dataset (meV/atom): 225.5

***

OsPt2Au: relaxed, PBE.

The structure in POSCAR format:
```
OsPt2Au
1.0
-0.236 -0.822 3.913
-3.852 -0.871 -0.416
0.937 -3.787 -0.739
Au Os Pt
1 1 2
Direct
0.500 0.500 0.000 Au
0.500 0.000 0.500 Os
0.000 0.000 0.000 Pt
0.000 0.500 0.500 Pt
```

Calculated values
VASP energy (eV for the cell shown): -24.91
Mass density (g/cm3): 20.438
Energy above the most stable polymorph in this dataset (meV/atom): 330.1

***

OsPtAu2: relaxed, PBE.

The structure in POSCAR format:
```
OsPtAu2
1.0
5.086 -0.029 0.000
-1.849 4.738 0.000
0.000 0.000 2.731
Au Os Pt
2 1 1
Direct
0.000 0.000 0.000 Au
0.500 0.500 0.000 Au
0.500 0.000 0.500 Os
0.000 0.500 0.500 Pt
```

Calculated values
VASP energy (eV for the cell shown): -21.81
Mass density (g/cm3): 19.709
Energy above the most stable polymorph in this dataset (meV/atom): 263.5

***

Os2PtAu: relaxed, PBE.

The structure in POSCAR format:
```
Os2PtAu
1.0
0.000 3.150 3.150
3.150 0.000 3.150
3.150 3.150 0.000
Os Au Pt
2 1 1
Direct
0.250 0.250 0.250 Os
0.750 0.750 0.750 Os
0.500 0.500 0.500 Au
0.000 0.000 0.000 Pt
```

Calculated values
VASP energy (eV for the cell shown): -28.66
Mass density (g/cm3): 20.530
Energy above the most stable polymorph in this dataset (meV/atom): 607.7

***

Os2PtAu: relaxed, PBE.

The structure in POSCAR format:
```
Os2PtAu
1.0
-2.639 1.350 -2.702
1.366 -2.576 -2.621
-2.617 -2.645 1.236
Au Os Pt
1 2 1
Direct
0.500 0.000 0.500 Au
0.000 0.000 0.000 Os
0.000 0.500 0.500 Os
0.500 0.500 0.000 Pt
```

Calculated values
VASP energy (eV for the cell shown): -29.43
Mass density (g/cm3): 20.806
Energy above the most stable polymorph in this dataset (meV/atom): 414.1

***

| no. | ΔE_f (meV per atom) | total magnetic moment (μB/f.u.) | Fermi-level density of states (states/eV/f.u.) |
| --- | --- | --- | --- |
| 1 | 599.2 | 1.902 | 3.6 |
| 2 | 240.1 | 0.000 | 2.9 |
| 3 | 367.4 | 0.003 | 5.6 |
| 4 | 644.6 | 0.385 | 4.9 |
| 5 | 451.6 | 0.000 | 4.6 |
| 6 | 277.4 | 0.000 | 4.9 |
| 7 | 342.1 | 0.000 | 4.8 |
| 8 | 465.6 | 0.011 | 5.3 |
| 9 | 420.7 | 0.000 | 4.7 |
| 10 | 503.5 | 0.000 | 4.3 |
| 11 | 779.5 | 0.000 | 4.0 |
| 12 | 586.0 | 0.000 | 4.7 |